<a>
RbMo3F | PBE with a Hubbard U | relaxed

```
RbMo3F
1.0
-6.282 1.497 1.599
-1.806 -0.795 -6.353
-1.239 -6.433 1.157
Mo F Rb
3 1 1
Direct
0.000 0.500 0.000 Mo
0.500 0.000 0.000 Mo
0.000 0.000 0.500 Mo
0.500 0.500 0.500 F
0.000 0.000 0.000 Rb
```

<b>
RbMo3F | PBE with a Hubbard U | relaxed

```
RbMo3F
1.0
5.316 0.000 0.000
0.000 5.316 0.000
0.000 0.000 5.316
F Mo Rb
1 3 1
Direct
0.000 0.000 0.000 F
0.000 0.500 0.000 Mo
0.500 0.000 0.000 Mo
0.000 0.000 0.500 Mo
0.500 0.500 0.500 Rb
```

The structure with the greatest stability is <b>.

<a>
Rb2MoF5 | PBE with a Hubbard U | relaxed

```
Rb2MoF5
1.0
6.110 0.000 0.000
0.000 8.052 0.000
0.000 0.000 12.482
Mo F Rb
4 20 8
Direct
0.250 0.666 0.441 Mo
0.750 0.834 0.941 Mo
0.250 0.166 0.059 Mo
0.750 0.334 0.559 Mo
0.750 0.966 0.798 F
0.500 0.500 0.500 F
0.995 0.676 0.889 F
0.005 0.824 0.389 F
0.250 0.034 0.202 F
0.000 0.000 0.000 F
0.750 0.218 0.408 F
0.995 0.176 0.611 F
0.250 0.782 0.592 F
0.250 0.534 0.298 F
0.005 0.324 0.111 F
0.500 0.000 0.000 F
0.505 0.676 0.889 F
0.505 0.176 0.611 F
0.000 0.500 0.500 F
0.250 0.282 0.908 F
0.750 0.466 0.702 F
0.750 0.718 0.092 F
0.495 0.324 0.111 F
0.495 0.824 0.389 F
0.750 0.355 0.917 Rb
0.250 0.645 0.083 Rb
0.750 0.855 0.583 Rb
0.250 0.499 0.732 Rb
0.250 0.145 0.417 Rb
0.750 0.501 0.268 Rb
0.750 0.001 0.232 Rb
0.250 0.999 0.768 Rb
```

<b>
Rb2MoF5 | PBE with a Hubbard U | relaxed

```
Rb2MoF5
1.0
-3.237 5.787 1.008
-4.148 -1.437 -5.071
1.287 -3.952 4.506
Rb F Mo
2 5 1
Direct
0.248 0.748 0.495 Rb
0.748 0.248 0.495 Rb
0.795 0.795 0.026 F
0.232 0.232 0.028 F
0.232 0.795 0.027 F
0.735 0.736 0.471 F
0.795 0.232 0.027 F
0.992 0.992 0.984 Mo
```

The structure with the greatest stability is <a>.

<a>
RbMoF2 | PBE with a Hubbard U | relaxed

```
RbMoF2
1.0
5.385 0.000 0.000
0.000 5.385 0.000
2.693 2.693 6.941
Mo F Rb
2 4 2
Direct
0.750 0.250 0.500 Mo
0.000 0.000 0.000 Mo
0.692 0.125 0.250 F
0.375 0.308 0.750 F
0.058 0.625 0.250 F
0.875 0.942 0.750 F
0.500 0.500 0.000 Rb
0.250 0.750 0.500 Rb
```

<b>
RbMoF2 | PBE with a Hubbard U | relaxed

```
RbMoF2
1.0
-2.407 -1.678 3.701
-4.691 -0.485 -0.257
-1.922 -4.310 -0.191
F Mo Rb
2 1 1
Direct
0.750 0.750 0.750 F
0.250 0.250 0.250 F
0.500 0.500 0.500 Mo
0.000 0.000 0.000 Rb
```

<c>
RbMoF2 | PBE with a Hubbard U | relaxed

```
RbMoF2
1.0
-2.867 -6.032 4.080
-0.908 -3.992 6.671
-4.472 -2.950 5.706
Rb F Mo
1 2 1
Direct
0.500 0.500 0.500 Rb
0.094 0.094 0.094 F
0.906 0.906 0.906 F
0.000 0.000 0.000 Mo
```

The structure with the greatest stability is <c>.

<a>
Re2MoF | PBE with a Hubbard U | relaxed

```
Re2MoF
1.0
6.736 0.000 0.000
0.000 6.736 0.000
3.368 3.368 2.571
Re Mo F
4 2 2
Direct
0.375 0.419 0.750 Re
0.581 0.125 0.250 Re
0.169 0.625 0.250 Re
0.875 0.831 0.750 Re
0.750 0.250 0.500 Mo
0.000 0.000 0.000 Mo
0.250 0.750 0.500 F
0.500 0.500 0.000 F
```

<b>
Re2MoF | PBE with a Hubbard U | relaxed

```
Re2MoF
1.0
-2.126 -3.441 -1.639
-4.051 -0.906 1.348
-3.382 0.604 -2.692
F Re Mo
1 2 1
Direct
0.000 0.000 0.000 F
0.250 0.250 0.250 Re
0.750 0.750 0.750 Re
0.500 0.500 0.500 Mo
```

The structure with the greatest stability is <b>.

<a>
MoRhF3 | PBE with a Hubbard U | relaxed

```
MoRhF3
1.0
4.252 0.000 0.000
0.000 4.252 0.000
0.000 0.000 4.252
F Mo Rh
3 1 1
Direct
0.000 0.500 0.000 F
0.500 0.000 0.000 F
0.000 0.000 0.500 F
0.500 0.500 0.500 Mo
0.000 0.000 0.000 Rh
```

<b>
MoRhF3 | PBE with a Hubbard U | relaxed

```
MoRhF3
1.0
-0.368 3.888 -1.703
-2.078 -1.656 -3.331
-3.701 0.543 2.039
Rh F Mo
1 3 1
Direct
0.500 0.500 0.500 Rh
0.000 0.500 0.000 F
0.000 0.000 0.500 F
0.500 0.000 0.000 F
0.000 0.000 0.000 Mo
```

The structure with the greatest stability is <b>.

<a>
MoRhF2 | PBE with a Hubbard U | relaxed

```
MoRhF2
1.0
0.000 2.951 2.951
2.951 0.000 2.951
2.951 2.951 0.000
Mo F Rh
1 2 1
Direct
0.000 0.000 0.000 Mo
0.250 0.250 0.250 F
0.750 0.750 0.750 F
0.500 0.500 0.500 Rh
```

<b>
MoRhF2 | PBE with a Hubbard U | relaxed

```
MoRhF2
1.0
5.734 -0.033 8.311
7.636 0.852 6.550
5.930 2.638 7.734
F Rh Mo
2 1 1
Direct
0.884 0.884 0.884 F
0.116 0.116 0.116 F
0.000 0.000 0.000 Rh
0.500 0.500 0.500 Mo
```

<c>
MoRhF2 | PBE with a Hubbard U | relaxed

```
MoRhF2
1.0
3.857 0.000 0.000
0.000 3.857 0.000
1.928 1.928 7.768
F Mo Rh
4 2 2
Direct
0.875 0.865 0.750 F
0.615 0.125 0.250 F
0.135 0.625 0.250 F
0.375 0.385 0.750 F
0.250 0.750 0.500 Mo
0.500 0.500 0.000 Mo
0.750 0.250 0.500 Rh
0.000 0.000 0.000 Rh
```

The structure with the greatest stability is <b>.

<a>
MoRuF2 | PBE with a Hubbard U | relaxed

```
MoRuF2
1.0
-0.474 -4.038 1.041
-1.887 -1.031 3.605
-3.816 -1.747 -0.053
F Ru Mo
2 1 1
Direct
0.750 0.750 0.750 F
0.250 0.250 0.250 F
0.500 0.500 0.500 Ru
0.000 0.000 0.000 Mo
```

<b>
MoRuF2 | PBE with a Hubbard U | relaxed

```
MoRuF2
1.0
3.814 0.000 0.000
0.000 3.814 0.000
1.907 1.907 7.794
F Mo Ru
4 2 2
Direct
0.128 0.625 0.250 F
0.875 0.872 0.750 F
0.375 0.378 0.750 F
0.622 0.125 0.250 F
0.500 0.500 0.000 Mo
0.250 0.750 0.500 Mo
0.000 0.000 0.000 Ru
0.750 0.250 0.500 Ru
```

The structure with the greatest stability is <b>.

<a>
MoS2F | PBE with a Hubbard U | relaxed

```
MoS2F
1.0
-0.866 0.780 -5.881
-5.889 -0.829 0.757
-3.956 4.737 -1.845
S Mo F
4 2 2
Direct
0.875 0.913 0.750 S
0.375 0.337 0.750 S
0.663 0.125 0.250 S
0.087 0.625 0.250 S
0.750 0.250 0.500 Mo
0.000 0.000 0.000 Mo
0.500 0.500 0.000 F
0.250 0.750 0.500 F
```

<b>
MoS2F | PBE with a Hubbard U | relaxed

```
MoS2F
1.0
2.015 0.000 6.989
-1.008 1.745 6.989
-1.008 -1.745 6.989
Mo S F
1 2 1
Direct
0.500 0.500 0.500 Mo
0.099 0.099 0.099 S
0.901 0.901 0.901 S
0.000 0.000 0.000 F
```

<c>
MoS2F | PBE with a Hubbard U | relaxed

```
MoS2F
1.0
2.350 -3.502 -0.887
-1.952 -3.750 -0.836
0.045 -1.609 -3.998
S F Mo
2 1 1
Direct
0.250 0.250 0.250 S
0.750 0.750 0.750 S
0.000 0.000 0.000 F
0.500 0.500 0.500 Mo
```

The structure with the greatest stability is <b>.

<a>
SbMo3F | PBE with a Hubbard U | relaxed

```
SbMo3F
1.0
4.392 0.000 0.000
0.000 4.392 0.000
0.000 0.000 4.392
Mo F Sb
3 1 1
Direct
0.000 0.500 0.000 Mo
0.000 0.000 0.500 Mo
0.500 0.000 0.000 Mo
0.000 0.000 0.000 F
0.500 0.500 0.500 Sb
```

<b>
SbMo3F | PBE with a Hubbard U | relaxed

```
SbMo3F
1.0
-0.804 0.127 -5.524
3.345 -4.432 -0.589
-4.398 -3.394 0.562
Sb Mo F
1 3 1
Direct
0.000 0.000 0.000 Sb
0.000 0.000 0.500 Mo
0.000 0.500 0.000 Mo
0.500 0.000 0.000 Mo
0.500 0.500 0.500 F
```

The structure with the greatest stability is <a>.

<a>
Sb3MoF | PBE with a Hubbard U | relaxed

```
Sb3MoF
1.0
-2.650 4.445 0.460
-0.918 -1.065 5.002
4.373 2.470 1.329
Mo Sb F
1 3 1
Direct
0.000 0.000 0.000 Mo
0.000 0.500 0.000 Sb
0.000 0.000 0.500 Sb
0.500 0.000 0.000 Sb
0.500 0.500 0.500 F
```

<b>
Sb3MoF | PBE with a Hubbard U | relaxed

```
Sb3MoF
1.0
4.915 0.000 0.000
0.000 4.915 0.000
0.000 0.000 4.915
Sb Mo F
3 1 1
Direct
0.000 0.000 0.500 Sb
0.500 0.000 0.000 Sb
0.000 0.500 0.000 Sb
0.500 0.500 0.500 Mo
0.000 0.000 0.000 F
```

The structure with the greatest stability is <b>.

<a>
SbMoF2 | PBE with a Hubbard U | relaxed

```
SbMoF2
1.0
0.000 3.242 3.242
3.242 0.000 3.242
3.242 3.242 0.000
F Sb Mo
2 1 1
Direct
0.250 0.250 0.250 F
0.750 0.750 0.750 F
0.500 0.500 0.500 Sb
0.000 0.000 0.000 Mo
```

<b>
SbMoF2 | PBE with a Hubbard U | relaxed

```
SbMoF2
1.0
4.498 -8.526 3.223
3.675 -9.472 0.297
6.389 -7.870 0.747
F Mo Sb
2 1 1
Direct
0.875 0.875 0.875 F
0.125 0.125 0.125 F
0.500 0.500 0.500 Mo
0.000 0.000 0.000 Sb
```

The structure with the greatest stability is <b>.